# 1
DFT (PBE-GGA) results for an optimized crystal structure of KMgSc2.

a = 6.002 Å, b = 6.002 Å, c = 6.002 Å
α = 131.69°, β = 131.69°, γ = 70.71°
Element x y z (fractional)
K: 0.000 0.000 0.000
Mg: 0.500 0.500 0.000
Sc: 0.250 0.750 0.500
Sc: 0.750 0.250 0.500

Calculated volume: 29.527 Å³/atom
Raw total energy: -13.0 eV/cell
DOS at the Fermi energy: 1.491 states/eV per atom


# 2
DFT (PBE-GGA) results for an optimized crystal structure of Sr2ScPb.

a = 4.030 Å, b = 4.030 Å, c = 9.260 Å
α = 90.00°, β = 90.00°, γ = 90.00°
Element x y z (fractional)
Sr: 0.000 0.000 0.000
Sr: 0.500 0.500 0.356
Sc: 0.500 0.500 0.731
Pb: 0.000 0.000 0.605

Calculated volume: 37.588 Å³/atom
Raw total energy: -13.9 eV/cell
DOS at the Fermi energy: 1.088 states/eV per atom


# 3
DFT (PBE-GGA) results for an optimized crystal structure of ReSiAu2.

a = 3.062 Å, b = 3.062 Å, c = 6.830 Å
α = 90.00°, β = 90.00°, γ = 90.00°
Element x y z (fractional)
Re: 0.000 0.000 0.000
Si: 0.500 0.500 0.176
Au: 0.000 0.000 0.426
Au: 0.500 0.500 0.718

Energy relative to the elements, uncorrected: 0.210 eV/atom
Calculated volume: 16.004 Å³/atom
DOS at the Fermi energy: 0.496 states/eV per atom